(1)
# BeRu2Cl | the Alexandria database | GGA-PBE | relaxed
# Energy above the lowest structure with this stoichiometry (meV per atom): 242
# Size of the total moment (μB per atom): 0.00
# Calculated total energy (eV per cell): -22.68
data_BeRu2Cl
_symmetry_space_group_name_H-M 'P 4/m m m'
_symmetry_Int_Tables_number 123
_symmetry_space_group_name_Hall '-P 4 2'
_cell_length_a 2.867
_cell_length_b 2.867
_cell_length_c 6.533
_cell_angle_alpha 90.00
_cell_angle_beta 90.00
_cell_angle_gamma 90.00
loop_
_atom_site_label
_atom_site_fract_x
_atom_site_fract_y
_atom_site_fract_z
Be1 0.000 0.000 0.000
Ru1 0.500 0.500 0.196
Cl1 0.000 0.000 0.500

(2)
# BeRu2Cl | the Alexandria database | GGA-PBE | relaxed
# Energy above the lowest structure with this stoichiometry (meV per atom): 96
# Size of the total moment (μB per atom): 0.00
# Calculated total energy (eV per cell): -23.27
data_BeRu2Cl
_symmetry_space_group_name_H-M 'P m m m'
_symmetry_Int_Tables_number 47
_cell_length_a 2.864
_cell_length_b 2.876
_cell_length_c 6.767
_cell_angle_alpha 90.00
_cell_angle_beta 90.00
_cell_angle_gamma 90.00
loop_
_symmetry_equiv_pos_as_xyz
'x,y,z'
'-x,-y,-z'
'-x,-y,z'
'x,y,-z'
'x,-y,-z'
'-x,y,z'
'-x,y,-z'
'x,-y,z'
loop_
_atom_site_label
_atom_site_fract_x
_atom_site_fract_y
_atom_site_fract_z
Be1 0.000 0.000 0.000
Ru1 0.500 0.500 0.189
Cl1 0.500 0.000 0.500

(3)
# BeRu4Cl | the Alexandria database | GGA-PBE | relaxed
# Size of the total moment (μB per atom): 0.75
# Calculated total energy (eV per cell): -143.15
data_BeRu4Cl
_symmetry_space_group_name_H-M 'F -4 3 m'
_symmetry_Int_Tables_number 216
_symmetry_space_group_name_Hall 'F -4 2 3'
_cell_length_a 7.278
_cell_length_b 7.278
_cell_length_c 7.278
_cell_angle_alpha 90.00
_cell_angle_beta 90.00
_cell_angle_gamma 90.00
loop_
_atom_site_label
_atom_site_fract_x
_atom_site_fract_y
_atom_site_fract_z
Be1 0.000 0.000 0.000
Ru1 0.125 0.125 0.375
Cl1 0.250 0.250 0.750